VASP calculation (PBE) on an optimized crystal structure of Ba2YNi.

Its energy relative to the elements is 0.314 eV per atom. Its space-group type is R-3m, No. 166.

Cell lengths 10.8166, 10.8166, 10.8166 Å; angles 21.90, 21.90, 21.90 degrees
Sites, in units of the cell vectors:
Ba (0.4762, 0.4762, 0.4762)
Ba (0.0238, 0.0238, 0.0238)
Ni (0.7500, 0.7500, 0.7500)
Y (0.2500, 0.2500, 0.2500)

---

VASP calculation (PBE) on an optimized crystal structure of BaYNi.

Its energy relative to the elements is 0.940 eV per atom. Its space-group type is F-43m, No. 216.

Cell lengths 4.9352, 4.9352, 4.9352 Å; angles 60.00, 60.00, 60.00 degrees
Sites, in units of the cell vectors:
Ni (0.0000, 0.0000, 0.0000)
Ba (0.7500, 0.7500, 0.7500)
Y (0.5000, 0.5000, 0.5000)

---

VASP calculation (PBE) on an optimized crystal structure of Ba2YNi.

Its energy relative to the elements is 0.536 eV per atom. Its space-group type is I-4m2, No. 119.

Cell lengths 6.7569, 6.7569, 6.7569 Å; angles 137.95, 137.95, 60.97 degrees
Sites, in units of the cell vectors:
Ba (0.0000, 0.0000, 0.0000)
Ba (0.2500, 0.7500, 0.5000)
Y (0.7500, 0.2500, 0.5000)
Ni (0.5000, 0.5000, 0.0000)

---

VASP calculation (PBE) on an optimized crystal structure of BaYNi2.

Its energy relative to the elements is -0.008 eV per atom. Its space-group type is R-3m, No. 166.

Cell lengths 6.3391, 6.3391, 6.3391 Å; angles 42.51, 42.51, 42.51 degrees
Sites, in units of the cell vectors:
Ni (0.9507, 0.9507, 0.9507)
Ni (0.5493, 0.5493, 0.5493)
Ba (0.7500, 0.7500, 0.7500)
Y (0.2500, 0.2500, 0.2500)

---

VASP calculation (PBE) on an optimized crystal structure of BaYNi.

Its energy relative to the elements is 0.036 eV per atom. Its space-group type is P3m1, No. 156.

Cell lengths 4.1576, 4.1576, 6.8796 Å; angles 90.00, 90.00, 120.00 degrees
Sites, in units of the cell vectors:
Y (0.3333, 0.6667, 0.5520)
Ba (0.0000, 0.0000, 0.0813)
Ni (0.6667, 0.3333, 0.3667)

---

VASP calculation (PBE) on an optimized crystal structure of BaYNi2.

Its energy relative to the elements is 0.188 eV per atom. Its space-group type is P4mm, No. 99.

Cell lengths 4.1604, 4.1521, 5.8905 Å; angles 90.00, 90.00, 90.00 degrees
Sites, in units of the cell vectors:
Ba (0.5000, 0.5000, 0.8753)
Ni (0.0000, 0.0000, 0.8744)
Ni (0.5000, 0.5000, 0.3745)
Y (0.0000, 0.0000, 0.3758)

---

VASP calculation (PBE) on an optimized crystal structure of BaY2Ni.

Its energy relative to the elements is 0.509 eV per atom. Its space-group type is F-43m, No. 216.

Cell lengths 5.5003, 5.5003, 5.5003 Å; angles 60.00, 60.00, 60.00 degrees
Sites, in units of the cell vectors:
Y (0.0000, 0.0000, 0.0000)
Y (0.2500, 0.2500, 0.2500)
Ni (0.7500, 0.7500, 0.7500)
Ba (0.5000, 0.5000, 0.5000)

---

VASP calculation (PBE) on an optimized crystal structure of Ba2YNi.

Its energy relative to the elements is 0.006 eV per atom. Its space-group type is Pm, No. 6.

Cell lengths 3.8829, 4.1582, 9.7957 Å; angles 77.71, 90.00, 90.00 degrees
Sites, in units of the cell vectors:
Ba (0.0000, 0.0944, 0.9342)
Ba (0.5000, 0.4039, 0.3186)
Ni (0.0000, 0.2602, 0.6051)
Y (0.5000, 0.7415, 0.6421)

---

VASP calculation (PBE) on an optimized crystal structure of Ba2YNi.

Its energy relative to the elements is 0.079 eV per atom. Its space-group type is Immm, No. 71.

Cell lengths 10.0554, 10.0554, 4.2445 Å; angles 77.83, 77.83, 21.25 degrees
Sites, in units of the cell vectors:
Ba (0.0953, 0.0953, 0.9045)
Ba (0.4047, 0.4047, 0.5955)
Y (0.2500, 0.2500, 0.2500)
Ni (0.7500, 0.7500, 0.7500)

---

VASP calculation (PBE) on an optimized crystal structure of BaYNi2.

Its energy relative to the elements is 0.279 eV per atom. Its space-group type is I-4m2, No. 119.

Cell lengths 6.1238, 6.1238, 6.1238 Å; angles 140.70, 140.70, 56.80 degrees
Sites, in units of the cell vectors:
Y (0.5000, 0.5000, 0.0000)
Ni (0.2500, 0.7500, 0.5000)
Ni (0.0000, 0.0000, 0.0000)
Ba (0.7500, 0.2500, 0.5000)

---

VASP calculation (PBE) on an optimized crystal structure of BaY2Ni.

Its energy relative to the elements is 0.408 eV per atom. Its space-group type is P4/mmm, No. 123.

Cell lengths 5.4550, 4.6565, 4.6565 Å; angles 90.00, 90.00, 90.00 degrees
Sites, in units of the cell vectors:
Ni (0.5000, 0.0000, 0.5000)
Y (0.0000, 0.0000, 0.0000)
Y (0.0000, 0.5000, 0.5000)
Ba (0.5000, 0.5000, 0.0000)

---

VASP calculation (PBE) on an optimized crystal structure of BaYNi.

Its energy relative to the elements is 0.219 eV per atom. Its space-group type is F-43m, No. 216.

Cell lengths 5.0759, 5.0759, 5.0759 Å; angles 60.00, 60.00, 60.00 degrees
Sites, in units of the cell vectors:
Ba (0.5000, 0.5000, 0.5000)
Y (0.0000, 0.0000, 0.0000)
Ni (0.7500, 0.7500, 0.7500)

---

| no. | electronic total energy (eV for the cell shown) |
| --- | --- |
| 1 | -14.833 |
| 2 | -11.348 |
| 3 | -13.945 |
| 4 | -19.983 |
| 5 | -14.059 |
| 6 | -19.196 |
| 7 | -18.598 |
| 8 | -16.065 |
| 9 | -15.773 |
| 10 | -18.833 |
| 11 | -19.000 |
| 12 | -13.511 |